The following is a PBE calculation of a geometry-optimized SrLiP2 structure, from Alexandria via LeMat-Bulk.

Structure (POSCAR):
```
SrLiP2
1.0
-1.1891 1.8739 4.0798
-4.3347 1.4887 0.7516
-3.7848 -2.7757 3.8982
Li P Sr
1 2 1
Direct
0.7500 0.7500 0.7500
0.0804 0.0804 0.9074
0.4196 0.4196 0.5926
0.2500 0.2500 0.2500
```

Results
**Energy above the lowest structure with this stoichiometry**: 0.049 eV per atom
**Calculated density**: 2.919 g/cm³
**Energy relative to the elements**: -65 kJ per mole of atoms